# 1
First-principles (PBE) data for a geometry-optimized DyTiZn structure, as listed in the Alexandria database.

The structure in extended XYZ format:
```
6
Lattice="3.2864 0.0000 0.0000 0.0000 3.2864 0.0000 0.0000 0.0000 11.4492" Properties=species:S:1:pos:R:3 pbc="T T T"
Dy 0.0000 0.0000 2.0607
Dy 0.0000 0.0000 9.3885
Ti 1.6432 1.6432 4.1915
Ti 1.6432 1.6432 7.2577
Zn 0.0000 0.0000 5.7246
Zn 1.6432 1.6432 0.0000
```

Summary:
Total magnetization   0.00 μB/f.u.
SG   P4/mmm, No. 123
Energy   -4.6450 eV/atom

=====

# 2
First-principles (PBE) data for a geometry-optimized BeReOsRh2 structure, as listed in the Alexandria database.

The structure in extended XYZ format:
```
5
Lattice="4.6196 0.0000 0.0000 0.0000 4.6196 0.0000 0.0000 0.0000 4.1671" Properties=species:S:1:pos:R:3 pbc="T T T"
Be 0.0000 0.0000 0.0000
Re 0.0000 0.0000 2.0836
Os 2.3098 2.3098 0.0000
Rh 0.0000 2.3098 2.0836
Rh 2.3098 0.0000 2.0836
```

Summary:
Total magnetization   1.89 μB/f.u.
SG   P4/mmm, No. 123
Energy   -6.6359 eV/atom

=====

# 3
First-principles (PBE) data for a geometry-optimized NdDy5 structure, as listed in the Alexandria database.

The structure in extended XYZ format:
```
6
Lattice="4.8696 -2.8127 0.0000 4.8696 2.8127 0.0000 -0.0093 0.0000 6.9994" Properties=species:S:1:pos:R:3 pbc="T T T"
Nd 0.0000 0.0000 0.0000
Dy 9.7316 0.0000 3.4994
Dy 3.2465 0.0000 0.0013
Dy 3.2397 0.0000 3.5012
Dy 6.4882 0.0000 1.7638
Dy 6.4851 0.0000 5.2369
```

Summary:
Energy above the most stable polymorph in this dataset   46 meV per atom
Total magnetization   0.00 μB/f.u.
SG   Cm, No. 8

=====

> Which formula does entry 3 have?

NdDy5

=====

> Which of these has the highest total magnetization?

BeReOsRh2

=====

> total magnetization of number 3 (NdDy5)?

0.00 μB/f.u.